(1)
Here is an optimized crystal structure of Ce2HfGe2 from the Alexandria database. Energies are from GGA-PBE.

The structure in CIF format:
```
data_Ce2HfGe2
_chemical_formula_sum 'Ce4 Hf2 Ge4'
_cell_length_a 4.2021
_cell_length_b 6.1533
_cell_length_c 9.2022
_cell_angle_alpha 90.00
_cell_angle_beta 90.00
_cell_angle_gamma 90.00
_symmetry_space_group_name_H-M 'I m m m'
_symmetry_Int_Tables_number 71
_symmetry_space_group_name_Hall '-I 2 2'
loop_
_atom_site_label
_atom_site_fract_x
_atom_site_fract_y
_atom_site_fract_z
Ce1 0.0000 0.0000 0.2104
Hf1 0.0000 0.5000 0.0000
Ge1 0.0000 0.2874 0.5000
```

Calculated values
**Spin magnetization**: 1.273 μB/f.u.
**Total energy**: -6.805 eV/atom
**Relative energy among the computed polymorphs**: 0 meV per atom
**E_form**: -0.59 eV per atom

(2)
Here is an optimized crystal structure of SrCr2Br from the Alexandria database. Energies are from GGA-PBE.

The structure in CIF format:
```
data_SrCr2Br
_chemical_formula_sum 'Sr2 Cr4 Br2'
_cell_length_a 6.1057
_cell_length_b 12.6063
_cell_length_c 3.6886
_cell_angle_alpha 90.00
_cell_angle_beta 126.74
_cell_angle_gamma 90.00
_symmetry_space_group_name_H-M 'C 1 2/m 1'
_symmetry_Int_Tables_number 12
_symmetry_space_group_name_Hall '-C 2y'
loop_
_atom_site_label
_atom_site_fract_x
_atom_site_fract_y
_atom_site_fract_z
Sr1 0.0000 0.0000 0.0000
Cr1 0.2500 0.2500 0.5000
Br1 0.0000 0.5000 0.0000
```

Calculated values
**Formation energy (no corrections)**: 0.412 eV per atom
**Spin magnetization**: 9.549 μB/f.u.
**Total energy**: -5.238 eV/atom
**Relative energy among the computed polymorphs**: 356 meV per atom

(3)
Here is an optimized crystal structure of TiAsRh3 from the Alexandria database. Energies are from GGA-PBE.

The structure in CIF format:
```
data_TiAsRh3
_chemical_formula_sum 'Ti1 As1 Rh3'
_cell_length_a 4.5465
_cell_length_b 4.5465
_cell_length_c 4.5465
_cell_angle_alpha 90.00
_cell_angle_beta 90.00
_cell_angle_gamma 90.00
_symmetry_space_group_name_H-M 'P m -3 m'
_symmetry_Int_Tables_number 221
_symmetry_space_group_name_Hall '-P 4 2 3'
loop_
_atom_site_label
_atom_site_fract_x
_atom_site_fract_y
_atom_site_fract_z
Ti1 0.0000 0.0000 0.0000
As1 0.5000 0.5000 0.5000
Rh1 0.0000 0.0000 0.5000
```

Calculated values
**Spin magnetization**: 0.000 μB/f.u.
**Total energy**: -6.276 eV/atom
**Relative energy among the computed polymorphs**: 317 meV per atom
**E_form**: 0.64 eV per atom